# 1
# GdPa

A relaxed structure of GdPa (GGA-PBE, OQMD).

Cell lengths 3.322, 3.322, 5.812 Å; angles 90.00, 90.00, 120.00 degrees
Element x y z (fractional)
1 Gd 0.000 0.000 0.000
2 Pa 0.667 0.333 0.500

## Properties
Space-group type = P-6m2, No. 187
Energy of formation from the pure elements = 0.208 eV/atom
Energy above the most stable polymorph in this dataset = 0 meV per atom
Electronic total energy = -13.7 eV/cell

=====

# 2
# LiScTlPd

A relaxed structure of LiScTlPd (GGA-PBE, OQMD).

Cell lengths 4.727, 4.727, 4.727 Å; angles 60.00, 60.00, 60.00 degrees
Element x y z (fractional)
1 Li 0.000 0.000 0.000
2 Sc 0.500 0.500 0.500
3 Tl 0.250 0.250 0.250
4 Pd 0.750 0.750 0.750

## Properties
Space-group type = F-43m, No. 216
Energy above the most stable polymorph in this dataset = 52 meV per atom
Electronic total energy = -17.5 eV/cell

=====

# 3
# ThHgB4

A relaxed structure of ThHgB4 (GGA-PBE, OQMD).

Cell lengths 3.241, 3.241, 8.318 Å; angles 90.00, 90.00, 120.00 degrees
Element x y z (fractional)
1 Th 0.000 0.000 0.000
2 Hg 0.000 0.000 0.500
3 B 0.333 0.667 0.249
4 B 0.333 0.667 0.751
5 B 0.667 0.333 0.249
6 B 0.667 0.333 0.751

## Properties
Space-group type = P6/mmm, No. 191
Energy above the most stable polymorph in this dataset = 185 meV per atom
Electronic total energy = -32.9 eV/cell

=====

# 4
# NiGeOsPt

A relaxed structure of NiGeOsPt (GGA-PBE, OQMD).

Cell lengths 4.339, 4.339, 4.339 Å; angles 60.00, 60.00, 60.00 degrees
Element x y z (fractional)
1 Ni 0.000 0.000 0.000
2 Ge 0.750 0.750 0.750
3 Os 0.250 0.250 0.250
4 Pt 0.500 0.500 0.500

## Properties
Space-group type = F-43m, No. 216
Electronic total energy = -25.9 eV/cell